This record from Alexandria via LeMat-Bulk describes an optimized crystal structure of TbSm8Ho5. The functional is GGA-PBE.

POSCAR file:
```
TbSm8Ho5
1.0
-3.112 6.263 4.847
-1.918 -7.634 3.231
8.419 1.198 -0.275
Sm Ho Tb
8 5 1
Cartesian
2.048 0.630 2.396
2.498 5.899 4.580
3.510 -2.390 5.479
-0.518 -0.988 4.436
4.937 2.263 4.253
0.049 3.007 4.269
2.311 -4.627 2.647
-1.278 -4.486 3.151
7.064 2.168 1.403
0.399 -2.025 1.154
-2.893 -1.242 7.073
2.208 0.753 5.975
2.653 3.731 2.286
4.577 -1.353 2.621
```

Computed properties:
Total moment, μB/cell: 0.00
N(E_F), states/eV per atom: 1.492
Final energy, eV per cell: -61.7
Energy relative to the elements, kJ/mol of formula units: 342
Space-group type: No. 82